Entry from Alexandria: Ca2LaSm after structural relaxation (PBE).

```
data_Ca2LaSm
_cell_length_a 4.234
_cell_length_b 4.234
_cell_length_c 8.498
_cell_angle_alpha 90.00
_cell_angle_beta 90.00
_cell_angle_gamma 90.00
_space_group_name_H-M_alt 'P 1'
_space_group_IT_number 1
loop_
_space_group_symop_operation_xyz
'x,y,z'
loop_
_atom_site_label
_atom_site_type_symbol
_atom_site_fract_x
_atom_site_fract_y
_atom_site_fract_z
_atom_site_occupancy
Ca1 Ca 0.000 0.000 0.242 1
Ca2 Ca 0.000 0.000 0.758 1
La1 La 0.500 0.500 0.500 1
Sm1 Sm 0.500 0.500 0.000 1
```

As for the crystal system: tetragonal. The total energy comes out at -0.1209 hartree per atom. The density of states at the Fermi level is 6.0 states/eV per cell. As for the distance to the lowest polymorph of the same formula: 91.7 meV per atom. As for the space group: P4/mmm (123).